[1]
A plane-wave DFT calculation with GGA-PBE was carried out for Ac5Ga2Ag after structural relaxation.

a = 10.158 Å, b = 10.158 Å, c = 10.158 Å
α = 132.80°, β = 132.80°, γ = 68.96°
Positions (direct):
Ac 0.000 0.000 0.000
Ac 0.027 0.527 0.847
Ac 0.181 0.027 0.500
Ac 0.319 0.819 0.847
Ac 0.473 0.319 0.500
Ac 0.500 0.500 0.000
Ac 0.527 0.681 0.500
Ac 0.681 0.181 0.153
Ac 0.819 0.973 0.500
Ac 0.973 0.473 0.153
Ga 0.113 0.387 0.500
Ga 0.387 0.887 0.273
Ga 0.613 0.113 0.727
Ga 0.887 0.613 0.500
Ag 0.250 0.250 0.000
Ag 0.750 0.750 0.000

## Properties
E_form: -0.309 eV per atom
space-group type: I4/mcm, No. 140
magnetization: 0.00 μB per formula unit
VASP energy: -63.8 eV for the cell shown

***

[2]
A plane-wave DFT calculation with GGA-PBE was carried out for AcGa2Ag after structural relaxation.

a = 6.002 Å, b = 6.002 Å, c = 6.912 Å
α = 90.00°, β = 90.00°, γ = 131.29°
Positions (direct):
Ac 0.108 0.892 0.750
Ac 0.892 0.108 0.250
Ga 0.386 0.614 0.559
Ga 0.386 0.614 0.941
Ga 0.614 0.386 0.059
Ga 0.614 0.386 0.441
Ag 0.195 0.805 0.250
Ag 0.805 0.195 0.750

## Properties
E_form: -0.439 eV per atom
polymorph energy (0 for the lowest one): 18 meV per atom
space-group type: Cmcm, No. 63
magnetization: 0.00 μB per formula unit
VASP energy: -29.5 eV for the cell shown

***

Among the records above, which one has the highest E_form?
Ac5Ga2Ag

***

Among the records above, which one has the lowest VASP energy?
Ac5Ga2Ag